1.
The following is a DFT calculation (SCAN) of a PBEsol-optimized structure of InOsSe2Br.

Calculated values
crystal system	tetragonal
raw total energy	-32.70	eV per atom
spin magnetization	0.000	μB/atom

Lattice parameters (Å, degrees): 4.770 4.770 5.403 90.00 90.00 90.00
Fractional coordinates of all 5 atoms:
In 0.000 0.000 0.000
Os 0.500 0.500 0.500
Se 0.000 0.500 0.500
Se 0.500 0.000 0.500
Br 0.500 0.500 0.000


2.
The following is a DFT calculation (SCAN) of a PBEsol-optimized structure of Na4ZnSe3.

Calculated values
crystal system	monoclinic
raw total energy	-12.42	eV per atom
spin magnetization	0.000	μB/atom

Lattice parameters (Å, degrees): 7.934 7.934 9.575 112.75 112.75 52.02
Fractional coordinates of all 16 atoms:
Na 0.013 0.451 0.476
Na 0.162 0.838 0.500
Na 0.168 0.612 0.869
Na 0.363 0.804 0.229
Na 0.451 0.013 0.976
Na 0.612 0.168 0.369
Na 0.804 0.363 0.729
Na 0.838 0.162 0.000
Zn 0.570 0.906 0.620
Zn 0.906 0.570 0.120
Se 0.192 0.243 0.208
Se 0.243 0.192 0.708
Se 0.571 0.596 0.972
Se 0.596 0.571 0.472
Se 0.870 0.928 0.658
Se 0.928 0.870 0.158


3.
The following is a DFT calculation (SCAN) of a PBEsol-optimized structure of LaSb2Os.

Calculated values
crystal system	trigonal
raw total energy	-47.27	eV per atom
spin magnetization	0.000	μB/atom

Lattice parameters (Å, degrees): 9.560 9.560 9.560 20.27 20.27 20.27
Fractional coordinates of all 4 atoms:
La 0.000 0.000 0.000
Sb 0.234 0.234 0.234
Sb 0.766 0.766 0.766
Os 0.500 0.500 0.500


4.
The following is a DFT calculation (SCAN) of a PBEsol-optimized structure of AlPS4.

Calculated values
crystal system	tetragonal
raw total energy	-10.15	eV per atom
spin magnetization	0.000	μB/atom

Lattice parameters (Å, degrees): 5.709 5.709 8.712 90.00 90.00 90.00
Fractional coordinates of all 12 atoms:
Al 0.000 0.000 0.250
Al 0.000 0.000 0.750
P 0.000 0.500 0.250
P 0.500 0.000 0.750
S 0.201 0.276 0.118
S 0.201 0.724 0.382
S 0.276 0.201 0.618
S 0.276 0.799 0.882
S 0.724 0.201 0.882
S 0.724 0.799 0.618
S 0.799 0.276 0.382
S 0.799 0.724 0.118


5.
The following is a DFT calculation (SCAN) of a PBEsol-optimized structure of Li2NiOs.

Calculated values
excess energy over the best structure of this formula in the dataset	0.108	eV per atom
crystal system	tetragonal
spin magnetization	0.013	μB/atom

Lattice parameters (Å, degrees): 2.585 2.585 8.124 90.00 90.00 90.00
Fractional coordinates of all 4 atoms:
Li 0.000 0.000 0.000
Li 0.500 0.500 0.316
Ni 0.000 0.000 0.541
Os 0.500 0.500 0.752


6.
The following is a DFT calculation (SCAN) of a PBEsol-optimized structure of Sc2CdCu.

Calculated values
crystal system	orthorhombic
raw total energy	-18.85	eV per atom
spin magnetization	0.000	μB/atom

Lattice parameters (Å, degrees): 3.350 4.721 4.798 90.00 90.00 90.00
Fractional coordinates of all 4 atoms:
Sc 0.000 0.000 0.000
Sc 0.000 0.500 0.472
Cd 0.500 0.500 0.957
Cu 0.500 0.000 0.530


7.
The following is a DFT calculation (SCAN) of a PBEsol-optimized structure of MgTlW2.

Calculated values
excess energy over the best structure of this formula in the dataset	0.000	eV per atom
crystal system	monoclinic
spin magnetization	0.000	μB/atom

Lattice parameters (Å, degrees): 2.903 4.222 5.959 90.00 97.63 90.00
Fractional coordinates of all 4 atoms:
Mg 0.000 0.000 0.000
Tl 0.542 0.500 0.254
W 0.148 0.000 0.546
W 0.499 0.500 0.745


8.
The following is a DFT calculation (SCAN) of a PBEsol-optimized structure of Ti2TeIr.

Calculated values
crystal system	tetragonal
raw total energy	-35.46	eV per atom
spin magnetization	0.000	μB/atom

Lattice parameters (Å, degrees): 5.816 5.816 5.816 103.79 103.79 121.54
Fractional coordinates of all 8 atoms:
Ti 0.092 0.625 0.967
Ti 0.375 0.342 0.467
Ti 0.658 0.125 0.033
Ti 0.875 0.908 0.533
Te 0.250 0.750 0.500
Te 0.500 0.500 0.000
Ir 0.000 0.000 0.000
Ir 0.750 0.250 0.500


9.
The following is a DFT calculation (SCAN) of a PBEsol-optimized structure of BeCr2Ag.

Calculated values
crystal system	tetragonal
raw total energy	-17.73	eV per atom
spin magnetization	0.149	μB/atom

Lattice parameters (Å, degrees): 3.094 3.094 5.096 90.00 90.00 90.00
Fractional coordinates of all 4 atoms:
Be 0.000 0.000 0.000
Cr 0.500 0.500 0.184
Cr 0.500 0.500 0.816
Ag 0.000 0.000 0.500


10.
The following is a DFT calculation (SCAN) of a PBEsol-optimized structure of Mg3P2.

Calculated values
crystal system	cubic
raw total energy	-7.96	eV per atom
spin magnetization	0.000	μB/atom

Lattice parameters (Å, degrees): 10.383 10.383 10.383 109.47 109.47 109.47
Fractional coordinates of all 40 atoms:
Mg 0.007 0.474 0.740
Mg 0.026 0.034 0.267
Mg 0.034 0.267 0.026
Mg 0.233 0.267 0.760
Mg 0.233 0.466 0.493
Mg 0.240 0.767 0.733
Mg 0.260 0.993 0.526
Mg 0.267 0.026 0.034
Mg 0.267 0.760 0.233
Mg 0.466 0.493 0.233
Mg 0.474 0.740 0.007
Mg 0.493 0.233 0.466
Mg 0.507 0.767 0.534
Mg 0.526 0.260 0.993
Mg 0.534 0.507 0.767
Mg 0.733 0.240 0.767
Mg 0.733 0.974 0.966
Mg 0.740 0.007 0.474
Mg 0.760 0.233 0.267
Mg 0.767 0.534 0.507
Mg 0.767 0.733 0.240
Mg 0.966 0.733 0.974
Mg 0.974 0.966 0.733
Mg 0.993 0.526 0.260
P 0.000 0.000 0.000
P 0.000 0.500 0.500
P 0.024 0.774 0.250
P 0.226 0.750 0.976
P 0.250 0.024 0.774
P 0.250 0.524 0.274
P 0.274 0.250 0.524
P 0.476 0.726 0.750
P 0.500 0.000 0.500
P 0.500 0.500 0.000
P 0.524 0.274 0.250
P 0.726 0.750 0.476
P 0.750 0.476 0.726
P 0.750 0.976 0.226
P 0.774 0.250 0.024
P 0.976 0.226 0.750


11.
The following is a DFT calculation (SCAN) of a PBEsol-optimized structure of LaCuTeH2.

Calculated values
crystal system	tetragonal
raw total energy	-20.18	eV per atom
spin magnetization	0.000	μB/atom

Lattice parameters (Å, degrees): 4.023 4.023 6.565 90.00 90.00 90.00
Fractional coordinates of all 5 atoms:
La 0.000 0.000 0.000
Cu 0.500 0.500 0.000
Te 0.000 0.000 0.500
H 0.000 0.500 0.500
H 0.500 0.000 0.500


12.
The following is a DFT calculation (SCAN) of a PBEsol-optimized structure of YH2PdS.

Calculated values
crystal system	tetragonal
raw total energy	-15.62	eV per atom
spin magnetization	0.000	μB/atom

Lattice parameters (Å, degrees): 3.777 3.777 5.536 90.00 90.00 90.00
Fractional coordinates of all 5 atoms:
Y 0.000 0.000 0.000
H 0.000 0.500 0.000
H 0.500 0.000 0.000
Pd 0.000 0.000 0.500
S 0.500 0.500 0.500


> Which value of spin magnetization does entry 4 give?

0.000 μB/atom